(1)
First-principles (PBEsol) data for a relaxed structure of CaCdFe2, as listed in Alexandria via LeMat-Bulk.

total DFT energy (no corrections)	-19.18	eV per formula unit
symmetry	No. 47

Cell lengths 3.393, 3.554, 6.240 Å; angles 90.00, 90.00, 90.00 degrees
Sites, in units of the cell vectors:
Cd: 0.500 0.500 0.500
Fe: 0.000 0.000 0.325
Fe: 0.000 0.000 0.675
Ca: 0.500 0.500 0.000

=====

(2)
First-principles (PBEsol) data for a relaxed structure of CaCdFe2, as listed in Alexandria via LeMat-Bulk.

total DFT energy (no corrections)	-19.76	eV per formula unit
symmetry	No. 44

Cell lengths 3.058, 4.787, 5.558 Å; angles 115.51, 105.97, 90.00 degrees
Sites, in units of the cell vectors:
Ca: 0.487 0.487 0.974
Fe: 0.030 0.030 0.060
Fe: 0.706 0.206 0.412
Cd: 0.277 0.777 0.554

=====

(3)
First-principles (PBEsol) data for a relaxed structure of CaCdFe2, as listed in Alexandria via LeMat-Bulk.

total DFT energy (no corrections)	-19.54	eV per formula unit
symmetry	No. 12

Cell lengths 3.850, 4.752, 5.279 Å; angles 112.18, 90.00, 113.90 degrees
Sites, in units of the cell vectors:
Cd: 0.000 0.000 0.500
Fe: 0.726 0.452 0.600
Fe: 0.274 0.548 0.400
Ca: 0.500 0.000 0.000

=====

(4)
First-principles (PBEsol) data for a relaxed structure of CaCdFe2, as listed in Alexandria via LeMat-Bulk.

total DFT energy (no corrections)	-18.31	eV per formula unit
symmetry	No. 166

Cell lengths 2.889, 2.889, 9.474 Å; angles 81.23, 81.23, 60.00 degrees
Sites, in units of the cell vectors:
Ca: 0.500 0.500 0.500
Fe: 0.253 0.253 0.241
Fe: 0.747 0.747 0.759
Cd: 0.000 0.000 0.000

=====

Number 1: DFT formation energy 520.3 meV/atom, theoretical density 5.829 g cm⁻³. Number 2: DFT formation energy 373.7 meV/atom, theoretical density 6.273 g cm⁻³. Number 3: DFT formation energy 429.8 meV/atom, theoretical density 5.454 g cm⁻³. Number 4: DFT formation energy 737.5 meV/atom, theoretical density 6.510 g cm⁻³.